First-principles (SCAN) data for a PBEsol-optimized structure of AlAg2, as listed in Alexandria.

Properties
- Energy of formation: -0.09 eV per atom
- Crystal system: cubic

Structure (POSCAR):
```
AlAg2
1.0
-4.0496 1.9890 6.8918
-8.2072 -0.6419 0.2854
-3.5143 -5.8926 4.5583
Ag Al
16 8
Cartesian
-3.7286 -3.5145 3.7461
-6.0750 -0.8891 1.6096
-3.9962 0.4263 4.9128
-1.9714 -0.5682 1.4669
-10.4219 -1.8465 9.1771
-11.9463 -2.8111 6.7548
-10.2256 -4.7364 8.3215
-13.4311 -2.0818 9.2818
-11.7104 -4.0071 10.8485
-13.2349 -4.9717 8.4262
-9.2921 -3.8354 5.4923
-7.7676 -2.8707 7.9146
-9.4884 -0.9454 6.3479
-6.2828 -3.6000 5.3877
-8.0035 -1.6747 3.8209
-6.4791 -0.7101 6.2432
-5.3416 -1.5395 3.9748
-7.9545 -0.2561 8.4215
-10.6371 -1.9537 4.1589
-7.6091 -5.3416 6.9159
-14.3724 -4.1423 10.6947
-11.7595 -5.4257 6.2479
-9.0768 -3.7282 10.5105
-12.1048 -0.3402 7.7535
```

First-principles (SCAN) data for a PBEsol-optimized structure of Al5Ag3, as listed in Alexandria.

Properties
- Energy of formation: -0.05 eV per atom
- Crystal system: tetragonal

Structure (POSCAR):
```
Al5Ag3
1.0
-0.9163 -2.2382 -1.5489
-0.9178 -1.2845 2.3991
-13.9476 6.8610 -1.6625
Al Ag
5 3
Cartesian
-3.4964 1.7199 -0.4167
-6.9264 3.4072 -0.8256
-9.6087 2.5141 -0.6109
-10.4775 5.1539 -1.2488
-13.1473 4.2548 -1.0327
-13.8959 6.8355 -1.6563
-2.7565 -0.8565 0.2058
-6.1239 0.7999 -0.1955
```

First-principles (SCAN) data for a PBEsol-optimized structure of Al5Ag4, as listed in Alexandria.

Properties
- Energy of formation: -0.05 eV per atom
- Crystal system: triclinic

Structure (POSCAR):
```
Al5Ag4
1.0
-4.3576 2.1481 -0.4818
-3.7870 -1.5159 2.8062
-0.8541 4.7797 5.6706
Al Ag
5 4
Cartesian
-3.6173 4.9647 6.4669
-4.6164 0.7598 4.2645
-6.3481 5.1782 7.2466
-2.6755 2.7459 4.9578
-3.5364 2.4741 2.2412
-4.4261 2.1308 -0.4150
-5.3889 2.9755 5.7297
-6.2902 2.6664 2.9916
-4.3074 4.6799 3.6854
```

First-principles (SCAN) data for a PBEsol-optimized structure of AlAg, as listed in Alexandria.

Properties
- Energy of formation: -0.08 eV per atom
- Crystal system: orthorhombic

Structure (POSCAR):
```
AlAg
1.0
3.0060 0.0000 0.0000
0.0000 5.5653 0.0000
0.0000 0.0000 7.7300
Al Ag
4 4
Cartesian
0.0000 2.7826 1.8137
1.5030 4.0996 3.8650
1.5030 1.4657 3.8650
0.0000 2.7826 5.9164
0.0000 0.0000 5.6324
1.5030 1.3811 0.0000
0.0000 0.0000 2.0976
1.5030 4.1842 0.0000
```

First-principles (SCAN) data for a PBEsol-optimized structure of Al5Ag, as listed in Alexandria.

Properties
- Energy of formation: -0.02 eV per atom
- Crystal system: monoclinic

Structure (POSCAR):
```
Al5Ag
1.0
-0.9357 -1.5105 2.1992
4.9497 -0.4319 -0.0080
-2.5940 6.6774 3.4825
Al Ag
5 1
Cartesian
1.1261 3.3695 2.7934
0.0841 0.7554 2.3719
-1.2870 4.1228 4.1014
2.6121 1.0914 3.6784
2.4973 0.0024 1.0641
1.3150 4.4300 5.4195
```

First-principles (SCAN) data for a PBEsol-optimized structure of Al7Ag3, as listed in Alexandria.

Properties
- Energy of formation: -0.04 eV per atom
- Crystal system: triclinic

Structure (POSCAR):
```
Al7Ag3
1.0
-3.2159 -1.0638 3.4209
0.5774 -4.5929 -1.9311
6.0430 1.7174 4.0409
Al Ag
7 3
Cartesian
-0.3180 -3.5637 1.4716
-0.9220 -1.8609 3.6800
2.3172 -3.6795 0.5476
1.7022 -1.9697 2.7654
1.0872 -0.2598 4.9831
4.3264 -2.0784 1.8507
3.7224 -0.3757 4.0591
3.6628 -3.2920 4.2494
0.2887 -2.2965 -0.9656
-0.2584 -0.6473 1.2813
```

First-principles (SCAN) data for a PBEsol-optimized structure of Al2Ag3, as listed in Alexandria.

Properties
- Energy of formation: -0.08 eV per atom
- Crystal system: orthorhombic

Structure (POSCAR):
```
Al2Ag3
1.0
3.9885 0.0000 0.0000
0.0000 3.9921 0.0000
-1.9943 0.0000 10.0919
Al Ag
4 6
Cartesian
1.9943 1.9960 4.0325
0.0000 0.0000 8.1005
0.0000 0.0000 4.0283
0.0000 1.9960 1.9489
0.0000 0.0000 0.0112
1.9943 1.9960 8.0519
1.9943 0.0000 6.0267
1.9943 0.0000 2.1721
1.9943 1.9960 0.0350
0.0000 1.9960 5.9554
```

First-principles (SCAN) data for a PBEsol-optimized structure of Al7Ag5, as listed in Alexandria.

Properties
- Energy of formation: -0.05 eV per atom
- Crystal system: orthorhombic

Structure (POSCAR):
```
Al7Ag5
1.0
4.8714 -0.0307 0.0000
-1.7074 4.5625 0.0000
0.0000 0.0000 8.7836
Al Ag
7 5
Cartesian
-0.8537 2.2813 4.3987
-0.8537 2.2813 1.4619
1.5820 2.2659 0.0000
2.4357 -0.0154 7.3217
0.0000 0.0000 5.8656
2.4357 -0.0154 4.3848
0.0000 0.0000 2.9180
-0.8537 2.2813 7.3150
1.5820 2.2659 5.8422
1.5820 2.2659 2.9413
2.4357 -0.0154 1.4686
0.0000 0.0000 0.0000
```

no.,total energy (eV/atom)
1,-23.581
2,-16.662
3,-18.296
4,-19.638
5,-11.707
6,-14.881
7,-22.000
8,-17.644